[1]
Entry from Alexandria: an optimized crystal structure of RbSbP2O (PBE).

abc: 5.356 5.356 4.201
angles: 90.00 90.00 90.00
Element x y z (fractional)
Rb (0.000, 0.000, 0.000)
Sb (0.500, 0.500, 0.500)
P (0.000, 0.500, 0.500)
P (0.500, 0.000, 0.500)
O (0.500, 0.500, 0.000)

Summary:
Crystal system: tetragonal
DOS(E_F): 0.472 states/eV per atom
E_form (uncorrected): 0.1677 eV per atom
ΔE to the lowest computed polymorph: 0.000 eV/atom

---

[2]
Entry from Alexandria: an optimized crystal structure of RbSbP2O (PBE).

abc: 5.352 5.352 4.258
angles: 90.00 90.00 90.00
Element x y z (fractional)
Rb (0.000, 0.000, 0.000)
Sb (0.500, 0.500, 0.500)
P (0.000, 0.500, 0.000)
P (0.500, 0.000, 0.000)
O (0.000, 0.000, 0.500)

Summary:
Crystal system: tetragonal
DOS(E_F): 0.706 states/eV per atom
E_form (uncorrected): 1.4994 eV per atom
ΔE to the lowest computed polymorph: 1.332 eV/atom

---

[3]
Entry from Alexandria: an optimized crystal structure of RbSbP2O6 (PBE).

abc: 7.803 7.803 6.005
angles: 102.99 102.99 98.42
Element x y z (fractional)
Rb (0.053, 0.947, 0.750)
Rb (0.947, 0.053, 0.250)
Sb (0.310, 0.690, 0.250)
Sb (0.690, 0.310, 0.750)
P (0.081, 0.452, 0.645)
P (0.452, 0.081, 0.145)
P (0.548, 0.919, 0.855)
P (0.919, 0.548, 0.355)
O (0.065, 0.698, 0.314)
O (0.144, 0.612, 0.870)
O (0.218, 0.362, 0.553)
O (0.302, 0.935, 0.186)
O (0.362, 0.218, 0.053)
O (0.388, 0.856, 0.630)
O (0.612, 0.144, 0.370)
O (0.638, 0.782, 0.947)
O (0.698, 0.065, 0.814)
O (0.782, 0.638, 0.447)
O (0.856, 0.388, 0.130)
O (0.935, 0.302, 0.686)

Summary:
Crystal system: monoclinic
DOS(E_F): 0.000 states/eV per atom
E_form (uncorrected): -1.8364 eV per atom

---

[4]
Entry from Alexandria: an optimized crystal structure of RbSbPO2 (PBE).

abc: 4.263 4.263 5.198
angles: 90.00 90.00 90.00
Element x y z (fractional)
Rb (0.000, 0.000, 0.000)
Sb (0.500, 0.500, 0.500)
P (0.500, 0.500, 0.000)
O (0.000, 0.500, 0.500)
O (0.500, 0.000, 0.500)

Summary:
Crystal system: tetragonal
DOS(E_F): 0.475 states/eV per atom
E_form (uncorrected): -0.4049 eV per atom
ΔE to the lowest computed polymorph: 0.000 eV/atom

---

[5]
Entry from Alexandria: an optimized crystal structure of RbSb2PO8 (PBE).

abc: 7.316 7.316 15.279
angles: 95.87 95.87 59.14
Element x y z (fractional)
Rb (0.089, 0.851, 0.612)
Rb (0.149, 0.911, 0.888)
Rb (0.851, 0.089, 0.112)
Rb (0.911, 0.149, 0.388)
Sb (0.122, 0.380, 0.746)
Sb (0.192, 0.454, 0.064)
Sb (0.380, 0.122, 0.246)
Sb (0.454, 0.192, 0.564)
Sb (0.546, 0.808, 0.436)
Sb (0.620, 0.878, 0.754)
Sb (0.808, 0.546, 0.936)
Sb (0.878, 0.620, 0.254)
P (0.290, 0.510, 0.393)
P (0.490, 0.710, 0.107)
P (0.510, 0.290, 0.893)
P (0.710, 0.490, 0.607)
O (0.004, 0.332, 0.026)
O (0.021, 0.655, 0.160)
O (0.065, 0.305, 0.247)
O (0.074, 0.670, 0.347)
O (0.250, 0.411, 0.644)
O (0.252, 0.409, 0.469)
O (0.305, 0.065, 0.747)
O (0.330, 0.926, 0.153)
O (0.332, 0.004, 0.526)
O (0.335, 0.440, 0.826)
O (0.345, 0.979, 0.340)
O (0.355, 0.613, 0.066)
O (0.387, 0.645, 0.434)
O (0.409, 0.252, 0.969)
O (0.411, 0.250, 0.144)
O (0.440, 0.335, 0.326)
O (0.560, 0.665, 0.674)
O (0.589, 0.750, 0.856)
O (0.591, 0.748, 0.031)
O (0.613, 0.355, 0.566)
O (0.645, 0.387, 0.934)
O (0.655, 0.021, 0.660)
O (0.665, 0.560, 0.174)
O (0.668, 0.996, 0.474)
O (0.670, 0.074, 0.847)
O (0.695, 0.935, 0.253)
O (0.748, 0.591, 0.531)
O (0.750, 0.589, 0.356)
O (0.926, 0.330, 0.653)
O (0.935, 0.695, 0.753)
O (0.979, 0.345, 0.840)
O (0.996, 0.668, 0.974)

Summary:
Crystal system: monoclinic
DOS(E_F): 0.000 states/eV per atom
E_form (uncorrected): -1.7547 eV per atom

---

[6]
Entry from Alexandria: an optimized crystal structure of RbSbPO2 (PBE).

abc: 4.278 4.278 6.215
angles: 90.00 90.00 90.00
Element x y z (fractional)
Rb (0.000, 0.000, 0.000)
Sb (0.500, 0.500, 0.500)
P (0.000, 0.000, 0.500)
O (0.000, 0.500, 0.000)
O (0.500, 0.000, 0.000)

Summary:
Crystal system: tetragonal
DOS(E_F): 0.784 states/eV per atom
E_form (uncorrected): 1.0731 eV per atom
ΔE to the lowest computed polymorph: 1.478 eV/atom